# 1
## ThUFe (PBE-GGA)

Data for a geometry-optimized ThUFe structure.

Geometry as CIF:
```
data_ThUFe
_cell_length_a 3.376
_cell_length_b 6.713
_cell_length_c 5.851
_cell_angle_alpha 90.00
_cell_angle_beta 90.00
_cell_angle_gamma 90.00
_space_group_name_H-M_alt 'P 1'
_space_group_IT_number 1
loop_
_space_group_symop_operation_xyz
'x,y,z'
loop_
_atom_site_label
_atom_site_type_symbol
_atom_site_fract_x
_atom_site_fract_y
_atom_site_fract_z
Th1 Th 0.000 0.085 0.000
Th2 Th 0.500 0.915 0.500
U1 U 0.000 0.546 0.786
U2 U 0.500 0.454 0.286
Fe1 Fe 0.000 0.283 0.527
Fe2 Fe 0.500 0.717 0.027
```

Summary:
As for the space group: No. 31. The value obtained for the density of states at the Fermi level is 5.4 states/eV/f.u.


# 2
## Th2UFe2 (PBE-GGA)

Data for a geometry-optimized Th2UFe2 structure.

Geometry as CIF:
```
data_Th2UFe2
_cell_length_a 5.744
_cell_length_b 5.744
_cell_length_c 7.467
_cell_angle_alpha 97.38
_cell_angle_beta 97.38
_cell_angle_gamma 61.55
_space_group_name_H-M_alt 'P 1'
_space_group_IT_number 1
loop_
_space_group_symop_operation_xyz
'x,y,z'
loop_
_atom_site_label
_atom_site_type_symbol
_atom_site_fract_x
_atom_site_fract_y
_atom_site_fract_z
Th1 Th 0.044 0.257 0.149
Th2 Th 0.257 0.044 0.649
Th3 Th 0.743 0.956 0.351
Th4 Th 0.956 0.743 0.851
U1 U 0.374 0.626 0.250
U2 U 0.626 0.374 0.750
Fe1 Fe 0.270 0.502 0.489
Fe2 Fe 0.498 0.730 0.011
Fe3 Fe 0.502 0.270 0.989
Fe4 Fe 0.730 0.498 0.511
```

Summary:
As for the space group: No. 15. The value obtained for the density of states at the Fermi level is 6.1 states/eV/f.u.


# 3
## Th2VFe (PBE-GGA)

Data for a geometry-optimized Th2VFe structure.

Geometry as CIF:
```
data_Th2VFe
_cell_length_a 9.282
_cell_length_b 9.282
_cell_length_c 9.282
_cell_angle_alpha 22.95
_cell_angle_beta 22.95
_cell_angle_gamma 22.95
_space_group_name_H-M_alt 'P 1'
_space_group_IT_number 1
loop_
_space_group_symop_operation_xyz
'x,y,z'
loop_
_atom_site_label
_atom_site_type_symbol
_atom_site_fract_x
_atom_site_fract_y
_atom_site_fract_z
Th1 Th 0.108 0.108 0.108
Th2 Th 0.892 0.892 0.892
V1 V 0.000 0.000 0.000
Fe1 Fe 0.500 0.500 0.500
```

Summary:
As for the space group: No. 166. The value obtained for the density of states at the Fermi level is 3.9 states/eV/f.u.


# 4
## ThV2Fe (PBE-GGA)

Data for a geometry-optimized ThV2Fe structure.

Geometry as CIF:
```
data_ThV2Fe
_cell_length_a 4.457
_cell_length_b 4.457
_cell_length_c 4.457
_cell_angle_alpha 60.00
_cell_angle_beta 60.00
_cell_angle_gamma 60.00
_space_group_name_H-M_alt 'P 1'
_space_group_IT_number 1
loop_
_space_group_symop_operation_xyz
'x,y,z'
loop_
_atom_site_label
_atom_site_type_symbol
_atom_site_fract_x
_atom_site_fract_y
_atom_site_fract_z
Th1 Th 0.000 0.000 0.000
V1 V 0.250 0.250 0.250
V2 V 0.750 0.750 0.750
Fe1 Fe 0.500 0.500 0.500
```

Summary:
As for the space group: No. 225. The value obtained for the density of states at the Fermi level is 3.7 states/eV/f.u.


# 5
## YTh2Fe9 (PBE-GGA)

Data for a geometry-optimized YTh2Fe9 structure.

Geometry as CIF:
```
data_YTh2Fe9
_cell_length_a 8.767
_cell_length_b 8.767
_cell_length_c 8.767
_cell_angle_alpha 34.05
_cell_angle_beta 34.05
_cell_angle_gamma 34.05
_space_group_name_H-M_alt 'P 1'
_space_group_IT_number 1
loop_
_space_group_symop_operation_xyz
'x,y,z'
loop_
_atom_site_label
_atom_site_type_symbol
_atom_site_fract_x
_atom_site_fract_y
_atom_site_fract_z
Y1 Y 0.000 0.000 0.000
Th1 Th 0.141 0.141 0.141
Th2 Th 0.859 0.859 0.859
Fe1 Fe 0.082 0.579 0.579
Fe2 Fe 0.333 0.333 0.333
Fe3 Fe 0.421 0.421 0.918
Fe4 Fe 0.421 0.918 0.421
Fe5 Fe 0.500 0.500 0.500
Fe6 Fe 0.579 0.082 0.579
Fe7 Fe 0.579 0.579 0.082
Fe8 Fe 0.667 0.667 0.667
Fe9 Fe 0.918 0.421 0.421
```

Summary:
As for the space group: No. 166. The value obtained for the density of states at the Fermi level is 10.6 states/eV/f.u.


# 6
## Y2ThFe2 (PBE-GGA)

Data for a geometry-optimized Y2ThFe2 structure.

Geometry as CIF:
```
data_Y2ThFe2
_cell_length_a 6.043
_cell_length_b 6.043
_cell_length_c 7.216
_cell_angle_alpha 98.58
_cell_angle_beta 98.58
_cell_angle_gamma 60.33
_space_group_name_H-M_alt 'P 1'
_space_group_IT_number 1
loop_
_space_group_symop_operation_xyz
'x,y,z'
loop_
_atom_site_label
_atom_site_type_symbol
_atom_site_fract_x
_atom_site_fract_y
_atom_site_fract_z
Y1 Y 0.048 0.260 0.150
Y2 Y 0.260 0.048 0.650
Y3 Y 0.740 0.952 0.350
Y4 Y 0.952 0.740 0.850
Th1 Th 0.417 0.583 0.250
Th2 Th 0.583 0.417 0.750
Fe1 Fe 0.179 0.503 0.489
Fe2 Fe 0.497 0.821 0.011
Fe3 Fe 0.503 0.179 0.989
Fe4 Fe 0.821 0.497 0.511
```

Summary:
As for the space group: No. 15. The value obtained for the density of states at the Fermi level is 4.5 states/eV/f.u.


Values for calculated density, g cm⁻³, ordered as above
13.2; 12.6; 8.9; 10.3; 9.3; 7.7
Values for raw total energy, eV per atom, ordered as above
-8.903; -8.769; -7.391; -8.170; -8.185; -7.502
Values for DFT formation energy, eV/atom, ordered as above
0.154; -0.159; 0.715; 0.360; -0.063; -0.048